A plane-wave DFT calculation with GGA-PBEsol was carried out for a relaxed YInMo2 crystal.

Lattice parameters (Å, degrees): 3.0011 3.0011 9.9651 81.34 81.34 60.00
Fractional coordinates of all 4 atoms:
Mo  0.7459  0.7459  0.7622
Mo  0.2541  0.2541  0.2378
In  0.0000  0.0000  0.0000
Y  0.5000  0.5000  0.5000

## Properties
energy	-7.68	eV/atom
DFT formation energy	0.653	eV per atom